1.
VASP calculation (PBE) on PtC2 after structural relaxation.

Cell lengths 2.6062, 2.6062, 9.7659 Å; angles 90.00, 90.00, 120.00 degrees
Space group P6_3/mmc (No. 194)
Asymmetric unit:
Pt (0.3333, 0.6667, 0.2500) x2
C (0.3333, 0.6667, 0.0148) x4

Results
The calculation puts the volume at 57 Å³/cell. Its final energy is -7.74 eV per atom.

=====

2.
VASP calculation (PBE) on UV2Zn after structural relaxation.

Cell lengths 4.364, 4.364, 3.257 Å; angles 90.00, 90.00, 90.00 degrees
Space group P4/mmm (No. 123)
Asymmetric unit:
U (0.000, 0.000, 0.000) x1
V (0.000, 0.500, 0.500) x2
Zn (0.500, 0.500, 0.000) x1

Results
The calculation puts the volume at 62 Å³/cell. Its final energy is -7.54 eV per atom.

=====

3.
VASP calculation (PBE) on La2YZn after structural relaxation.

Cell lengths 4.817, 4.817, 10.032 Å; angles 90.00, 90.00, 90.00 degrees
Space group I4/mmm (No. 139)
Asymmetric unit:
La (0.000, 0.500, 0.250) x4
Y (0.000, 0.000, 0.000) x2
Zn (0.000, 0.000, 0.500) x2

Results
The calculation puts the volume at 233 Å³/cell. Its final energy is -4.45 eV per atom.

=====

4.
VASP calculation (PBE) on OsRhAu2 after structural relaxation.

Cell lengths 9.356, 2.794, 4.941 Å; angles 90.00, 99.58, 90.00 degrees
Space group C2/m (No. 12)
Asymmetric unit:
Os (0.000, 0.000, 0.000) x2
Rh (0.000, 0.500, 0.500) x2
Au (0.247, 0.500, 0.249) x4

Results
The calculation puts the volume at 127 Å³/cell. Its final energy is -5.83 eV per atom.

=====

5.
VASP calculation (PBE) on In2FeTc after structural relaxation.

Cell lengths 7.316, 7.316, 5.700 Å; angles 90.00, 90.00, 90.00 degrees
Space group I-42d (No. 122)
Asymmetric unit:
In (0.237, 0.750, 0.125) x8
Fe (0.000, 0.000, 0.000) x4
Tc (0.000, 0.000, 0.500) x4

Results
The calculation puts the volume at 305 Å³/cell. Its final energy is -5.37 eV per atom.

=====

6.
VASP calculation (PBE) on CaPu6S8 after structural relaxation.

Cell lengths 11.232, 11.232, 11.232 Å; angles 90.00, 90.00, 90.00 degrees
Space group Fm-3m (No. 225)
Asymmetric unit:
Ca (0.000, 0.000, 0.000) x4
Pu (0.000, 0.250, 0.250) x24
S (0.000, 0.000, 0.249) x24
S (0.250, 0.250, 0.250) x8

Results
For the uncorrected formation energy, the calculation gives -1768 meV/atom. The calculation puts the volume at 1417 Å³/cell. Its final energy is -9.84 eV per atom.

=====

7.
VASP calculation (PBE) on Be2HgAs after structural relaxation.

Cell lengths 3.5972, 3.5972, 17.4202 Å; angles 90.00, 90.00, 120.00 degrees
Space group R-3m (No. 166, hexagonal axes)
Asymmetric unit:
Be (0.0000, 0.0000, 0.2256) x6
Hg (0.0000, 0.0000, 0.0000) x3
As (0.0000, 0.0000, 0.5000) x3

Results
The calculation puts the volume at 195 Å³/cell. Its final energy is -2.83 eV per atom.

=====

8.
VASP calculation (PBE) on Pr2Dy8Y after structural relaxation.

Cell lengths 9.082, 16.157, 5.930 Å; angles 90.00, 123.31, 90.00 degrees
Space group C2/m (No. 12)
Asymmetric unit:
Pr (0.000, 0.193, 0.000) x4
Dy (0.000, 0.293, 0.500) x4
Dy (0.072, 0.000, 0.296) x4
Dy (0.214, 0.384, 0.175) x8
Y (0.000, 0.500, 0.500) x2

Results
The calculation puts the volume at 727 Å³/cell. Its final energy is -4.65 eV per atom.

=====

9.
VASP calculation (PBE) on Ho8Cu2Pt after structural relaxation.

Cell lengths 8.278, 13.060, 5.831 Å; angles 90.00, 110.49, 90.00 degrees
Space group Cm (No. 8)
Asymmetric unit:
Ho (0.000, 0.000, 0.000) x2
Ho (0.084, 0.373, 0.812) x4
Ho (0.151, 0.127, 0.588) x4
Ho (0.232, 0.500, 0.379) x2
Ho (0.367, 0.206, 0.192) x4
Cu (0.363, 0.304, 0.685) x4
Pt (0.365, 0.000, 0.022) x2

Results
The calculation puts the volume at 590 Å³/cell. Its final energy is -4.83 eV per atom.

=====

10.
VASP calculation (PBE) on Mn2AsH after structural relaxation.

Cell lengths 4.338, 4.338, 9.559 Å; angles 90.00, 90.00, 90.00 degrees
Space group I-42d (No. 122)
Asymmetric unit:
Mn (0.084, 0.250, 0.125) x8
As (0.000, 0.000, 0.500) x4
H (0.000, 0.000, 0.000) x4

Results
The calculation puts the volume at 180 Å³/cell. Its final energy is -6.29 eV per atom.

=====

11.
VASP calculation (PBE) on Sr3CaRh after structural relaxation.

Cell lengths 5.9479, 5.9479, 11.9996 Å; angles 90.00, 90.00, 120.00 degrees
Space group P6_3/mmc (No. 194)
Asymmetric unit:
Sr (0.0000, 0.0000, 0.2500) x2
Sr (0.3333, 0.6667, 0.0662) x4
Ca (0.3333, 0.6667, 0.7500) x2
Rh (0.0000, 0.0000, 0.0000) x2

Results
The calculation puts the volume at 368 Å³/cell. Its final energy is -2.83 eV per atom.

=====

12.
VASP calculation (PBE) on AgIrCl2 after structural relaxation.

Cell lengths 4.796, 4.796, 14.886 Å; angles 90.00, 90.00, 90.00 degrees
Space group I-42d (No. 122)
Asymmetric unit:
Ag (0.000, 0.000, 0.000) x4
Ir (0.000, 0.000, 0.500) x4
Cl (0.198, 0.250, 0.625) x8

Results
For the uncorrected formation energy, the calculation gives 485 meV/atom. The calculation puts the volume at 342 Å³/cell. Its final energy is -3.37 eV per atom.